A relaxed Mo2OsPb crystal. Source: Alexandria via LeMat-Bulk, functional PBE-GGA.

Output
Calculated formation energy (eV per atom): 0.599
Total magnetization (μB per cell): 0.000

Geometry as POSCAR:
```
Mo2OsPb
1.0
2.904 0.000 0.000
0.000 4.053 0.000
0.000 0.000 6.159
Mo Os Pb
2 1 1
Cartesian
0.000 0.000 0.207
1.452 2.026 1.674
0.000 0.000 2.692
1.452 2.026 4.665
```